Entry 1:
Computed, not measured: an optimized crystal structure of CrCu2Au at the PBE-GGA level of DFT.

a = 6.159 Å, b = 6.159 Å, c = 6.159 Å
α = 90.00°, β = 90.00°, γ = 90.00°
Space group F-43m (No. 216)
One atom of each set of equivalent atoms:
Cr  0.000  0.000  0.000 (multiplicity 4)
Cu  0.000  0.000  0.500 (multiplicity 4)
Cu  0.250  0.250  0.750 (multiplicity 4)
Au  0.250  0.250  0.250 (multiplicity 4)

total moment	0.990	μB/atom
formation energy from the elements	4.06	kcal/mol of atoms
uncorrected energy	-81.55	eV/cell
volume	14.6	Å³ per atom
crystal system	cubic

---

Entry 2:
Computed, not measured: an optimized crystal structure of Na4Np2Cl9 at the PBE-GGA level of DFT.

a = 12.310 Å, b = 7.194 Å, c = 19.109 Å
α = 90.00°, β = 90.28°, γ = 90.00°
Space group C2/c (No. 15)
One atom of each set of equivalent atoms:
Na  0.166  0.003  0.179 (multiplicity 8)
Na  0.167  0.001  0.484 (multiplicity 8)
Np  0.001  0.499  0.652 (multiplicity 8)
Cl  0.000  0.204  0.250 (multiplicity 4)
Cl  0.014  0.159  0.584 (multiplicity 8)
Cl  0.149  0.340  0.751 (multiplicity 8)
Cl  0.164  0.308  0.085 (multiplicity 8)
Cl  0.177  0.347  0.414 (multiplicity 8)

total moment	0.600	μB/atom
ΔE_f (raw)	-25.40	eV per formula unit
uncorrected energy	-292.70	eV/cell
volume	28.2	Å³ per atom
crystal system	monoclinic

---

Entry 3:
Computed, not measured: an optimized crystal structure of Ca2TlInBr8 at the PBE-GGA level of DFT.

a = 6.658 Å, b = 9.053 Å, c = 6.982 Å
α = 90.00°, β = 90.85°, γ = 90.00°
Space group P2/m (No. 10)
One atom of each set of equivalent atoms:
Ca  0.000  0.248  0.000 (multiplicity 2)
Tl  0.500  0.500  0.500 (multiplicity 1)
In  0.500  0.000  0.500 (multiplicity 1)
Br  0.226  0.500  0.871 (multiplicity 2)
Br  0.247  0.000  0.832 (multiplicity 2)
Br  0.263  0.210  0.345 (multiplicity 4)

total moment	0.000	μB/atom
ΔE_f (raw)	-16.44	eV per formula unit
uncorrected energy	-38.93	eV/cell
volume	35.1	Å³ per atom
crystal system	monoclinic